1.
InSeBr2Cl: relaxed, PBE-GGA.

Mass density = 4.0 g/cm³
SG = P4/mmm, No. 123
Total magnetization = 2.22 Bohr magnetons per cell
Energy relative to the lowest polymorph listed for this composition = 0.0 meV/atom
Total DFT energy (no corrections) = -11.3 eV per cell

POSCAR file:
```
InSeBr2Cl
1.0
5.3567 0.0000 0.0000
0.0000 5.3567 0.0000
0.0000 0.0000 5.6961
Cl Se Br In
1 1 2 1
direct
0.5000 0.5000 0.5000
0.0000 0.0000 0.5000
0.0000 0.5000 0.0000
0.5000 0.0000 0.0000
0.0000 0.0000 0.0000
```

---

2.
In4SeBrCl2: relaxed, PBE-GGA.

Mass density = 4.5 g/cm³
SG = Imma, No. 74
Total magnetization = 0.00 Bohr magnetons per cell
Total DFT energy (no corrections) = -48.9 eV per cell

POSCAR file:
```
In4SeBrCl2
1.0
8.9761 -0.0099 0.0986
-0.0162 8.9761 0.0986
-4.3667 -4.3697 6.2377
In Se Br Cl
8 2 2 4
direct
0.2262 0.7218 0.9740
0.7782 0.2738 0.5260
0.2218 0.7262 0.4740
0.7738 0.2782 0.0260
0.7450 0.7552 0.0096
0.7448 0.7550 0.4904
0.2552 0.2450 0.5096
0.2550 0.2448 0.9904
0.0000 0.5000 0.0000
0.0000 0.5000 0.5000
0.5000 0.5000 0.5000
0.0000 0.0000 0.0000
0.5000 0.0000 0.0000
0.5000 0.0000 0.5000
0.0000 0.0000 0.5000
0.5000 0.5000 0.0000
```

---

3.
In4SeBr2Cl: relaxed, PBE-GGA.

Mass density = 4.7 g/cm³
SG = Imma, No. 74
Total magnetization = 0.00 Bohr magnetons per cell
Total DFT energy (no corrections) = -48.1 eV per cell

POSCAR file:
```
In4SeBr2Cl
1.0
9.0550 -0.0551 0.1053
-0.0614 9.0550 0.1053
-4.3627 -4.3658 6.2528
In Se Br Cl
8 2 4 2
direct
0.2218 0.7258 0.9739
0.7742 0.2782 0.5261
0.2258 0.7218 0.4739
0.7782 0.2742 0.0261
0.7529 0.7466 0.9902
0.7534 0.7471 0.5098
0.2466 0.2529 0.4902
0.2471 0.2534 0.0098
0.0000 0.5000 0.0000
0.0000 0.5000 0.5000
0.5000 0.0000 0.0000
0.5000 0.0000 0.5000
0.0000 0.0000 0.5000
0.5000 0.5000 0.0000
0.5000 0.5000 0.5000
0.0000 0.0000 0.0000
```

---

4.
InSeBr2Cl: relaxed, PBE-GGA.

Mass density = 3.9 g/cm³
SG = P4/mmm, No. 123
Total magnetization = 0.89 Bohr magnetons per cell
Energy relative to the lowest polymorph listed for this composition = 228.3 meV/atom
Total DFT energy (no corrections) = -10.1 eV per cell

POSCAR file:
```
InSeBr2Cl
1.0
5.4609 0.0000 0.0000
0.0000 5.4609 0.0000
0.0000 0.0000 5.5498
Cl Se Br In
1 1 2 1
direct
0.0000 0.0000 0.0000
0.0000 0.0000 0.5000
0.0000 0.5000 0.0000
0.5000 0.0000 0.0000
0.5000 0.5000 0.5000
```

---

5.
InSiBr2Cl: relaxed, PBE-GGA.

Mass density = 3.5 g/cm³
SG = P4/mmm, No. 123
Total magnetization = 1.13 Bohr magnetons per cell
Total DFT energy (no corrections) = -10.1 eV per cell

POSCAR file:
```
InSiBr2Cl
1.0
5.2044 0.0000 0.0000
0.0000 5.9249 0.0000
0.0000 0.0000 5.2044
Si Cl Br In
1 1 2 1
direct
0.5000 0.5000 0.5000
0.0000 0.0000 0.0000
0.0000 0.0000 0.5000
0.5000 0.0000 0.0000
0.0000 0.5000 0.0000
```

---

6.
In5SnBr2Cl4: relaxed, PBE-GGA.

Mass density = 3.8 g/cm³
SG = Amm2, No. 38
Total magnetization = 0.00 Bohr magnetons per cell
Total DFT energy (no corrections) = -36.3 eV per cell

POSCAR file:
```
In5SnBr2Cl4
1.0
6.2410 0.0000 0.0000
-3.1205 6.0141 0.0000
0.0000 0.0000 11.7186
In Sn Br Cl
5 1 2 4
direct
0.0965 0.5225 0.2605
0.6232 0.0000 0.5000
0.0965 0.5225 0.7395
0.5740 0.4775 0.7395
0.5740 0.4775 0.2605
0.5234 0.0000 0.0000
0.0983 0.6814 0.5000
0.4169 0.3186 0.5000
0.4501 0.0000 0.2397
0.4501 0.0000 0.7603
0.4078 0.3129 0.0000
0.0949 0.6871 0.0000
```

---

7.
InSnBr2Cl: relaxed, PBE-GGA.

Mass density = 3.8 g/cm³
SG = I4cm, No. 108
Total magnetization = 0.00 Bohr magnetons per cell
Energy relative to the lowest polymorph listed for this composition = 0.0 meV/atom
Total DFT energy (no corrections) = -31.5 eV per cell

POSCAR file:
```
InSnBr2Cl
1.0
-1.1913 3.7665 7.0858
-7.6505 1.6289 -2.1521
2.7330 -7.5751 -0.1580
In Sn Br Cl
2 2 4 2
direct
0.7748 0.2748 0.5496
0.2748 0.7748 0.5496
0.9903 0.9903 0.9805
0.4903 0.4903 0.9805
0.3114 0.8114 0.9763
0.8114 0.6648 0.9763
0.6648 0.1648 0.9763
0.1648 0.3114 0.9763
0.7589 0.7589 0.5179
0.2589 0.2589 0.5179
```

---

8.
InSnBr2Cl: relaxed, PBE-GGA.

Mass density = 3.8 g/cm³
SG = P4/mmm, No. 123
Total magnetization = 0.00 Bohr magnetons per cell
Energy relative to the lowest polymorph listed for this composition = 47.9 meV/atom
Total DFT energy (no corrections) = -15.5 eV per cell

POSCAR file:
```
InSnBr2Cl
1.0
5.8488 0.0000 0.0000
0.0000 5.8488 0.0000
0.0000 0.0000 5.5015
Cl Sn Br In
1 1 2 1
direct
0.0000 0.0000 0.5000
0.0000 0.0000 0.0000
0.0000 0.5000 0.0000
0.5000 0.0000 0.0000
0.5000 0.5000 0.5000
```

---

9.
InSnBr4Cl: relaxed, PBE-GGA.

Mass density = 3.2 g/cm³
SG = C2/m, No. 12
Total magnetization = 0.00 Bohr magnetons per cell
Total DFT energy (no corrections) = -42.1 eV per cell

POSCAR file:
```
InSnBr4Cl
1.0
-2.9681 6.8359 3.4709
-2.8071 -2.2460 7.3933
4.5080 4.7750 10.8707
In Sn Br Cl
2 2 8 2
direct
0.6965 0.6965 0.6549
0.3035 0.3035 0.3451
0.1525 0.1525 0.7789
0.8475 0.8475 0.2211
0.0654 0.0654 0.6062
0.9346 0.9346 0.3938
0.1202 0.5149 0.2044
0.4780 0.4780 0.3697
0.4851 0.8798 0.7956
0.5149 0.1202 0.2044
0.5220 0.5220 0.6303
0.8798 0.4851 0.7956
0.1166 0.1166 0.0212
0.8834 0.8834 0.9788
```

---

10.
SrIn2Br2Cl2: relaxed, PBE-GGA.

Mass density = 3.6 g/cm³
SG = C2/m, No. 12
Total magnetization = 0.00 Bohr magnetons per cell
Total DFT energy (no corrections) = -23.9 eV per cell

POSCAR file:
```
SrIn2Br2Cl2
1.0
-2.0170 1.0139 3.7035
3.1230 -6.7101 3.5341
5.8919 1.6438 5.3037
Sr In Br Cl
1 2 2 2
direct
0.0000 0.0000 0.0000
0.1339 0.5749 0.7311
0.8661 0.4251 0.2689
0.2096 0.2625 0.5803
0.7904 0.7375 0.4197
0.4785 0.2173 0.0431
0.5215 0.7827 0.9569
```

---

11.
SrInBrCl2: relaxed, PBE-GGA.

Mass density = 3.1 g/cm³
SG = P4/mmm, No. 123
Total magnetization = 0.00 Bohr magnetons per cell
Energy relative to the lowest polymorph listed for this composition = 99.9 meV/atom
Total DFT energy (no corrections) = -17.9 eV per cell

POSCAR file:
```
SrInBrCl2
1.0
-3.1825 -2.2354 4.0715
-1.1453 -4.4055 -3.3140
4.8218 -2.8936 2.1803
Sr Cl Br In
1 2 1 1
direct
0.0000 0.0000 0.0000
0.0000 0.5000 0.0000
0.5000 0.0000 0.0000
0.0000 0.0000 0.5000
0.5000 0.5000 0.5000
```

---

12.
SrInBr4Cl: relaxed, PBE-GGA.

Mass density = 2.9 g/cm³
SG = C2/m, No. 12
Total magnetization = 0.12 Bohr magnetons per cell
Total DFT energy (no corrections) = -45.1 eV per cell

POSCAR file:
```
SrInBr4Cl
1.0
7.9354 -0.1145 0.7159
2.5205 7.5253 0.7159
3.0104 2.1337 11.0629
Sr In Br Cl
2 2 8 2
direct
0.1699 0.1699 0.9788
0.8301 0.8301 0.0212
0.6808 0.6808 0.7424
0.3192 0.3192 0.2576
0.2320 0.2320 0.4914
0.7680 0.7680 0.5086
0.0293 0.4334 0.1694
0.5353 0.5353 0.1515
0.5666 0.9707 0.8306
0.4334 0.0293 0.1694
0.4647 0.4647 0.8485
0.9707 0.5666 0.8306
0.9510 0.9510 0.1710
0.0490 0.0490 0.8290
```

---

13.
SrInBrCl2: relaxed, PBE-GGA.

Mass density = 3.3 g/cm³
SG = P2_1/m, No. 11
Total magnetization = 0.00 Bohr magnetons per cell
Energy relative to the lowest polymorph listed for this composition = 0.0 meV/atom
Total DFT energy (no corrections) = -36.7 eV per cell

POSCAR file:
```
SrInBrCl2
1.0
-2.9325 3.2104 1.8962
-2.0294 -5.2068 5.6773
8.4382 6.8333 1.4802
Sr In Br Cl
2 2 2 4
direct
0.2500 0.3061 0.0622
0.7500 0.6939 0.9378
0.2500 0.2393 0.5007
0.7500 0.7607 0.4993
0.2500 0.9637 0.1269
0.7500 0.0363 0.8731
0.7500 0.4993 0.6230
0.2500 0.5007 0.3770
0.7500 0.5691 0.1508
0.2500 0.4309 0.8492
```

---

14.
TaInBrCl2: relaxed, PBE-GGA.

Mass density = 4.6 g/cm³
SG = P4/mmm, No. 123
Total magnetization = 4.06 Bohr magnetons per cell
Total DFT energy (no corrections) = -16.8 eV per cell

POSCAR file:
```
TaInBrCl2
1.0
-0.4000 4.9445 1.4379
-5.0559 -1.2724 2.9689
2.7517 -1.0138 4.2516
Cl In Br Ta
2 1 1 1
direct
0.0000 0.0000 0.5000
0.5000 0.0000 0.0000
0.0000 0.0000 0.0000
0.0000 0.5000 0.0000
0.5000 0.5000 0.5000
```

---

15.
TlIn2Br2Cl: relaxed, PBE-GGA.

Mass density = 4.8 g/cm³
SG = Cmc2_1, No. 36
Total magnetization = 0.00 Bohr magnetons per cell
Total DFT energy (no corrections) = -35.3 eV per cell

POSCAR file:
```
TlIn2Br2Cl
1.0
6.6245 0.0000 0.0000
0.0000 6.6244 0.0000
0.0000 -3.3122 9.9344
Tl In Br Cl
2 4 4 2
direct
0.2423 0.7506 0.0000
0.7423 0.2494 0.0000
0.7472 0.9124 0.3258
0.7472 0.5866 0.6742
0.2472 0.4134 0.3258
0.2472 0.0876 0.6742
0.2483 0.9191 0.3373
0.2483 0.5817 0.6627
0.7483 0.0809 0.6627
0.7483 0.4183 0.3373
0.7398 0.7479 0.0000
0.2398 0.2521 0.0000
```

---

16.
UIn2Br4Cl2: relaxed, PBE-GGA.

Mass density = 4.0 g/cm³
SG = C2/m, No. 12
Total magnetization = 2.00 Bohr magnetons per cell
Total DFT energy (no corrections) = -37.4 eV per cell

POSCAR file:
```
UIn2Br4Cl2
1.0
-0.8146 -2.2423 -6.6419
6.8117 -3.2567 -1.8442
0.7483 -7.7252 0.4081
U In Br Cl
1 2 4 2
direct
0.5000 0.0000 0.0000
0.2896 0.7208 0.7208
0.7104 0.2792 0.2792
0.3242 0.6561 0.1521
0.6758 0.8479 0.3439
0.6758 0.3439 0.8479
0.3242 0.1521 0.6561
0.1956 0.1646 0.1646
0.8044 0.8354 0.8354
```

---

17.
UIn2Br2Cl4: relaxed, PBE-GGA.

Mass density = 3.7 g/cm³
SG = C2/m, No. 12
Total magnetization = 2.00 Bohr magnetons per cell
Total DFT energy (no corrections) = -38.7 eV per cell

POSCAR file:
```
UIn2Br2Cl4
1.0
-5.1834 1.0476 5.0973
1.7519 -5.3821 5.0542
4.2075 1.4188 6.1535
U In Br Cl
1 2 2 4
direct
0.5000 0.0000 0.0000
0.2721 0.7231 0.7231
0.7279 0.2769 0.2769
0.1753 0.1587 0.1587
0.8247 0.8413 0.8413
0.3595 0.6489 0.1428
0.6405 0.8572 0.3511
0.6405 0.3511 0.8572
0.3595 0.1428 0.6489
```

---

18.
UIn3Br2Cl6: relaxed, PBE-GGA.

Mass density = 3.5 g/cm³
SG = C2/m, No. 12
Total magnetization = 1.06 Bohr magnetons per cell
Total DFT energy (no corrections) = -47.9 eV per cell

POSCAR file:
```
UIn3Br2Cl6
1.0
6.2122 0.0000 0.3554
0.0000 8.9678 0.0000
-0.4349 -4.4839 8.0563
U In Br Cl
1 3 2 6
direct
0.5000 0.0000 0.0000
0.0000 0.5000 0.0000
0.5000 0.5000 0.5000
0.5000 0.0000 0.5000
0.2209 0.6684 0.3369
0.7791 0.3316 0.6631
0.7286 0.2713 0.1371
0.2714 0.7287 0.8629
0.7308 0.8683 0.7367
0.2692 0.1317 0.2633
0.2714 0.1341 0.8629
0.7286 0.8659 0.1371
```

---

19.
VIn2Br2Cl2: relaxed, PBE-GGA.

Mass density = 4.3 g/cm³
SG = C2/m, No. 12
Total magnetization = 3.00 Bohr magnetons per cell
Total DFT energy (no corrections) = -27.3 eV per cell

POSCAR file:
```
VIn2Br2Cl2
1.0
3.8484 0.0001 0.0000
-0.0012 6.8492 0.2694
1.9198 3.1450 7.5790
V In Br Cl
1 2 2 2
direct
0.0000 0.0000 0.0000
0.1557 0.6527 0.6908
0.8443 0.3473 0.3092
0.1777 0.1799 0.6434
0.8223 0.8201 0.3566
0.4998 0.2353 0.0005
0.5002 0.7647 0.9995
```

---

20.
VIn2BrCl: relaxed, PBE-GGA.

Mass density = 3.7 g/cm³
SG = P4/mmm, No. 123
Total magnetization = 4.38 Bohr magnetons per cell
Total DFT energy (no corrections) = -14.2 eV per cell

POSCAR file:
```
VIn2BrCl
1.0
5.9336 0.0000 0.0000
0.0000 5.9336 0.0000
0.0000 0.0000 5.1008
Cl V Br In
1 1 1 2
direct
0.0000 0.0000 0.5000
0.5000 0.5000 0.5000
0.0000 0.0000 0.0000
0.0000 0.5000 0.0000
0.5000 0.0000 0.0000
```

---

21.
YInBrCl2: relaxed, PBE-GGA.

Mass density = 2.2 g/cm³
SG = P4/mmm, No. 123
Total magnetization = 1.00 Bohr magnetons per cell
Total DFT energy (no corrections) = -16.0 eV per cell

POSCAR file:
```
YInBrCl2
1.0
-5.1782 -3.9576 2.9266
2.3331 0.3683 4.6261
-3.7322 5.9264 1.4105
Y Cl Br In
1 2 1 1
direct
0.0000 0.5000 0.0000
0.0000 0.0000 0.5000
0.5000 0.0000 0.0000
0.0000 0.0000 0.0000
0.5000 0.5000 0.5000
```

---

22.
ZrIn2Br4Cl2: relaxed, PBE-GGA.

Mass density = 3.8 g/cm³
SG = C2/m, No. 12
Total magnetization = 0.00 Bohr magnetons per cell
Total DFT energy (no corrections) = -35.1 eV per cell

POSCAR file:
```
ZrIn2Br4Cl2
1.0
7.5582 1.0742 0.7308
2.7662 6.9595 0.1348
2.7662 2.6808 6.4239
Zr In Br Cl
1 2 4 2
direct
0.5000 0.0000 0.0000
0.2661 0.7545 0.7545
0.7339 0.2455 0.2455
0.3123 0.7023 0.1945
0.6877 0.8055 0.2977
0.6877 0.2977 0.8055
0.3123 0.1945 0.7023
0.1903 0.2238 0.2238
0.8097 0.7762 0.7762
```

---

23.
IrBrCl4: relaxed, PBE-GGA.

Mass density = 4.5 g/cm³
SG = P2_1/c, No. 14
Total magnetization = 0.00 Bohr magnetons per cell
Energy relative to the lowest polymorph listed for this composition = 0.0 meV/atom
Total DFT energy (no corrections) = -39.1 eV per cell

POSCAR file:
```
IrBrCl4
1.0
-5.7792 7.5504 4.0675
-4.5244 -0.4351 4.8684
3.9980 1.0100 3.8058
Ir Br Cl
2 2 8
direct
0.0000 0.0000 0.0000
0.0000 0.5000 0.5000
0.5000 0.5000 0.0000
0.5000 0.0000 0.5000
0.1227 0.1304 0.7479
0.8773 0.3696 0.2479
0.2436 0.2690 0.2752
0.7564 0.2310 0.7752
0.8773 0.8696 0.2521
0.1227 0.6304 0.7521
0.7564 0.7310 0.7248
0.2436 0.7690 0.2248
```